Pm5Pr2TmMg (GGA-PBE, optimized geometry); total moment = 0.0 μB/f.u.; formation enthalpy at 0 K = 0.09 eV per atom
1.0
2.781 -10.130 0.000
2.781 10.130 0.000
0.000 0.000 10.772
Pm Pr Tm Mg
10 4 2 2
Direct
0.000 0.000 0.000
0.000 0.000 0.500
0.121 0.879 0.750
0.212 0.788 0.052
0.212 0.788 0.448
0.485 0.515 0.750
0.515 0.485 0.250
0.788 0.212 0.552
0.788 0.212 0.948
0.879 0.121 0.250
0.384 0.616 0.040
0.384 0.616 0.460
0.616 0.384 0.540
0.616 0.384 0.960
0.299 0.701 0.750
0.701 0.299 0.250
0.096 0.904 0.250
0.904 0.096 0.750